# 1
This record from OQMD via LeMat-Bulk describes crystalline KReAuSeS2 at its relaxed geometry. The functional is GGA-PBE.

Space-group type   Cmcm
E   -4.985 eV/atom

POSCAR file:
```
KReAuSeS2
1.0
1.810 -8.159 0.000
1.810 8.159 0.000
0.000 0.000 9.931
K Re Au Se S
2 2 2 2 4
direct
0.218 0.782 0.750
0.782 0.218 0.250
0.500 0.500 0.000
0.500 0.500 0.500
0.115 0.885 0.250
0.885 0.115 0.750
0.452 0.548 0.250
0.548 0.452 0.750
0.102 0.898 0.018
0.102 0.898 0.482
0.898 0.102 0.518
0.898 0.102 0.982
```

# 2
This record from OQMD via LeMat-Bulk describes crystalline KReTeAuS2 at its relaxed geometry. The functional is GGA-PBE.

Space-group type   Cmcm
E   -4.881 eV/atom

POSCAR file:
```
KReTeAuS2
1.0
1.808 -8.406 0.000
1.808 8.406 0.000
0.000 0.000 10.446
K Re Te Au S
2 2 2 2 4
direct
0.235 0.765 0.750
0.765 0.235 0.250
0.500 0.500 0.000
0.500 0.500 0.500
0.441 0.559 0.250
0.559 0.441 0.750
0.104 0.896 0.250
0.896 0.104 0.750
0.098 0.902 0.026
0.098 0.902 0.474
0.902 0.098 0.526
0.902 0.098 0.974
```

# 3
This record from OQMD via LeMat-Bulk describes crystalline KReAu3Se4 at its relaxed geometry. The functional is GGA-PBE.

Space-group type   P-43m
E   -4.150 eV/atom

POSCAR file:
```
KReAu3Se4
1.0
6.495 0.000 0.000
0.000 6.495 0.000
0.000 0.000 6.495
K Re Au Se
1 1 3 4
direct
0.000 0.000 0.000
0.500 0.500 0.500
0.000 0.500 0.500
0.500 0.000 0.500
0.500 0.500 0.000
0.286 0.286 0.286
0.286 0.714 0.714
0.714 0.286 0.714
0.714 0.714 0.286
```

# 4
This record from OQMD via LeMat-Bulk describes crystalline KReTe2AuSe at its relaxed geometry. The functional is GGA-PBE.

Space-group type   Cmcm
E   -4.433 eV/atom

POSCAR file:
```
KReTe2AuSe
1.0
2.016 -7.858 0.000
2.016 7.858 0.000
0.000 0.000 10.537
K Re Te Au Se
2 2 4 2 2
direct
0.241 0.759 0.750
0.759 0.241 0.250
0.000 0.000 0.000
0.000 0.000 0.500
0.378 0.622 0.017
0.378 0.622 0.483
0.622 0.378 0.517
0.622 0.378 0.983
0.448 0.552 0.250
0.552 0.448 0.750
0.059 0.941 0.250
0.941 0.059 0.750
```